1.
Here is a relaxed structure of Ag2RuPt from Alexandria via LeMat-Bulk. Energies are from PBE-GGA.

a = 4.1446 Å, b = 4.1446 Å, c = 7.6383 Å
α = 90.00°, β = 90.00°, γ = 90.00°
Space group I-4m2 (No. 119)
One atom of each set of equivalent atoms:
Ag 0.0000 0.0000 0.0000
Ag 0.0000 0.5000 0.2500
Ru 0.0000 0.0000 0.5000
Pt 0.0000 0.5000 0.7500

Total magnetic moment: 0.55 μB per atom
Energy relative to the elements: 0.3835 eV/atom

=====

2.
Here is a relaxed structure of Ag2RuPt from Alexandria via LeMat-Bulk. Energies are from PBE-GGA.

a = 6.4191 Å, b = 6.4191 Å, c = 6.4191 Å
α = 90.00°, β = 90.00°, γ = 90.00°
Space group Fm-3m (No. 225)
One atom of each set of equivalent atoms:
Ag 0.2500 0.2500 0.2500
Ru 0.0000 0.0000 0.0000
Pt 0.0000 0.0000 0.5000

Total magnetic moment: 0.58 μB per atom
Energy relative to the elements: 0.5220 eV/atom

=====

3.
Here is a relaxed structure of AgRuPt from Alexandria via LeMat-Bulk. Energies are from PBE-GGA.

a = 6.0908 Å, b = 6.0908 Å, c = 6.0908 Å
α = 90.00°, β = 90.00°, γ = 90.00°
Space group F-43m (No. 216)
One atom of each set of equivalent atoms:
Ag 0.0000 0.0000 0.0000
Ru 0.0000 0.0000 0.5000
Pt 0.2500 0.2500 0.7500

Total magnetic moment: 0.47 μB per atom
Energy relative to the elements: 0.7153 eV/atom